(1)
Below is crystalline Mg2NiAsW at its relaxed geometry, with properties calculated at the GGA-PBE level.

Results
energy of formation from the pure elements: 1.04 eV/atom

abc: 4.9517 4.3049 4.9517
angles: 90.00 90.00 90.00
Last column: magnetic moment on the atom in μB.
Atoms (fractional coordinates):
Ni  0.0000  0.5000  0.0000  0.30
As  0.0000  0.0000  0.0000  0.12
Mg  0.0000  0.0000  0.5000  0.00
Mg  0.5000  0.0000  0.0000  0.00
W  0.5000  0.5000  0.5000  2.69

---

(2)
Below is crystalline TlIn4Hg2 at its relaxed geometry, with properties calculated at the GGA-PBE level.

Results
energy of formation from the pure elements: 0.02 eV/atom

abc: 4.7585 9.2138 9.2138
angles: 90.00 90.00 90.00
Atoms (fractional coordinates):
Tl  0.5000  0.0000  0.0000
Tl  0.0000  0.5000  0.5000
In  0.0000  0.0979  0.3478
In  0.0000  0.9021  0.6522
In  0.5000  0.1522  0.5979
In  0.5000  0.8478  0.4021
In  0.5000  0.4021  0.8478
In  0.5000  0.5979  0.1522
In  0.0000  0.3478  0.0979
In  0.0000  0.6522  0.9021
Hg  0.0000  0.1850  0.8150
Hg  0.0000  0.8150  0.1850
Hg  0.5000  0.6850  0.6850
Hg  0.5000  0.3150  0.3150

---

Volume? In order: 21.11 28.85 A^3/atom.